[1]
{
  "formula": "OsAuSe3",
  "functional": "GGA-PBE",
  "state": "relaxed",
  "e_form_raw_kj_per_mol_atoms": 167,
  "volume_a3_per_cell": 120.4,
  "sg": "Pm-3m, No. 221",
  "mass_density_g_cm3": 8.609,
  "lattice_angstrom": [[-1.671, -4.424, 1.421], [1.970, 0.693, 4.474], [-4.208, 2.081, 1.531]],
  "species": ["Se", "Os", "Se", "Au", "Se"],
  "fractional_positions": [[0.500, 0.000, 0.000], [0.500, 0.500, 0.500], [0.000, 0.500, 0.000], [0.000, 0.000, 0.000], [0.000, 0.000, 0.500]]
}

---

[2]
{
  "formula": "OsAu2Se",
  "functional": "GGA-PBE",
  "state": "relaxed",
  "e_form_raw_kj_per_mol_atoms": 29,
  "volume_a3_per_cell": 75.2,
  "sg": "R3m, No. 160",
  "mass_density_g_cm3": 14.643,
  "lattice_angstrom": [[-3.383, 1.479, 8.778], [-5.990, 0.791, 7.360], [-4.202, -1.433, 8.424]],
  "species": ["Se", "Au", "Au", "Os"],
  "fractional_positions": [[0.770, 0.770, 0.770], [0.243, 0.243, 0.243], [0.992, 0.992, 0.992], [0.496, 0.496, 0.496]]
}

---

[3]
{
  "formula": "OsAu2Se",
  "functional": "GGA-PBE",
  "state": "relaxed",
  "e_form_raw_kj_per_mol_atoms": 72,
  "volume_a3_per_cell": 69.7,
  "sg": "Pmmm, No. 47",
  "mass_density_g_cm3": 15.810,
  "lattice_angstrom": [[-2.800, 0.997, 0.259], [0.022, -1.108, 4.516], [1.734, 4.578, 1.115]],
  "species": ["Au", "Se", "Au", "Os"],
  "fractional_positions": [[0.500, 0.500, 0.000], [0.000, 0.500, 0.500], [0.000, 0.000, 0.000], [0.500, 0.000, 0.500]]
}

---

[4]
{
  "formula": "OsAu2Se",
  "functional": "GGA-PBE",
  "state": "relaxed",
  "e_form_raw_kj_per_mol_atoms": 57,
  "volume_a3_per_cell": 72.9,
  "sg": "Pmmm, No. 47",
  "mass_density_g_cm3": 15.109,
  "lattice_angstrom": [[-1.212, 1.019, -2.314], [-1.034, -2.561, -0.586], [-7.582, 1.961, 4.836]],
  "species": ["Au", "Au", "Os", "Se"],
  "fractional_positions": [[0.000, 0.750, 0.027], [0.000, 0.750, 0.473], [0.500, 0.250, 0.250], [0.500, 0.750, 0.750]]
}